No. 1
MnInPbCl5 | PBE | relaxed

Unit cell a=7.7329 b=7.7329 c=10.2251 alpha=103.84 beta=103.84 gamma=107.01
Closest atoms and distances in Å follow each position.
Atoms (fractional coordinates):
Mn: 0.1824 0.8176 0.7500  4 Cl 2.36-2.37
Mn: 0.8176 0.1824 0.2500  4 Cl 2.36-2.37
In: 0.1584 0.8416 0.2500  3 Cl 2.99-3.22
In: 0.8416 0.1584 0.7500  3 Cl 2.99-3.22
Pb: 0.5000 0.5000 0.0000  6 Cl 2.85-2.95
Pb: 0.5000 0.5000 0.5000  6 Cl 2.85-2.95
Cl: 0.1020 0.2399 0.4323  1 Mn 2.36
Cl: 0.1656 0.5823 0.8629  1 Mn 2.37
Cl: 0.2399 0.1020 0.9323  1 Mn 2.36
Cl: 0.3986 0.6014 0.2500  2 Pb 2.85, 1 In 2.99
Cl: 0.4177 0.8344 0.6371  1 Mn 2.37
Cl: 0.5823 0.1656 0.3629  1 Mn 2.37
Cl: 0.6014 0.3986 0.7500  2 Pb 2.85, 1 In 2.99
Cl: 0.7601 0.8980 0.0677  1 Mn 2.36
Cl: 0.8344 0.4177 0.1371  1 Mn 2.37
Cl: 0.8980 0.7601 0.5677  1 Mn 2.36

Output
Crystal system: monoclinic
DOS at the Fermi energy, states/eV per cell: 0.0
Theoretical density, g/cm³: 3.44
Energy, eV per atom: -4.149

No. 2
MnInPbCl2 | PBE | relaxed

Unit cell a=5.5244 b=5.5244 c=6.1911 alpha=90.00 beta=90.00 gamma=90.00
Closest atoms and distances in Å follow each position.
Atoms (fractional coordinates):
Mn: 0.0000 0.0000 0.0000  4 In 3.91, 8 Cl 4.15
In: 0.5000 0.5000 0.0000  2 Pb 3.10
Pb: 0.5000 0.5000 0.5000  4 Cl 2.76
Cl: 0.0000 0.5000 0.5000  2 Pb 2.76
Cl: 0.5000 0.0000 0.5000  2 Pb 2.76

Output
Crystal system: tetragonal
DOS at the Fermi energy, states/eV per cell: 3.4
Theoretical density, g/cm³: 3.94
Energy, eV per atom: -3.703

No. 3
Mn2InPtCl | PBE | relaxed

Unit cell a=5.1870 b=5.1870 c=4.9783 alpha=90.00 beta=90.00 gamma=90.00
Closest atoms and distances in Å follow each position.
Atoms (fractional coordinates):
Mn: 0.0000 0.5000 0.0000  2 In 2.59
Mn: 0.5000 0.0000 0.0000  2 In 2.59
In: 0.0000 0.0000 0.0000  2 Cl 2.49, 4 Mn 2.59
Pt: 0.5000 0.5000 0.5000  8 Mn 3.59, 4 Cl 3.67
Cl: 0.0000 0.0000 0.5000  2 In 2.49

Output
Crystal system: tetragonal
DOS at the Fermi energy, states/eV per cell: 2.9
Polymorph energy (0 for the lowest one), eV/f.u.: 3.082
Theoretical density, g/cm³: 5.64
Energy, eV per atom: -4.575

No. 4
Mn2InPtCl | PBE | relaxed

Unit cell a=4.2430 b=4.2430 c=5.3723 alpha=90.00 beta=90.00 gamma=90.00
Closest atoms and distances in Å follow each position.
Atoms (fractional coordinates):
Mn: 0.0000 0.5000 0.0000  2 Cl 2.12
Mn: 0.5000 0.0000 0.0000  2 Cl 2.12
In: 0.0000 0.0000 0.5000  2 Cl 2.69, 4 Pt 3.00
Pt: 0.5000 0.5000 0.5000  4 In 3.00
Cl: 0.0000 0.0000 0.0000  4 Mn 2.12

Output
Crystal system: tetragonal
DOS at the Fermi energy, states/eV per cell: 4.1
Polymorph energy (0 for the lowest one), eV/f.u.: 0.000
Theoretical density, g/cm³: 7.82
Energy, eV per atom: -5.191